K2AuCl5 | PBE-GGA | optimized geometry

Unit cell a=6.5264 b=6.8845 c=6.9136 alpha=99.48 beta=112.64 gamma=112.45
With the nearest neighbours (Å) after each atom.
Space group P1 (No. 1)
Symmetry-distinct sites (fractional):
K 0.0000 0.0000 0.0000  8 Cl 3.22-3.57
K 0.9997 0.4425 0.5569  7 Cl 3.22-3.52
Au 0.5331 0.7539 0.3103  4 Cl 2.35-2.37
Cl 0.0884 0.5350 0.0894  1 Au 2.35
Cl 0.5277 0.5142 0.5169  1 Au 2.35
Cl 0.5319 0.9651 0.0751  1 Au 2.35
Cl 0.5926 0.1161 0.6734  1 Au 3.02, 4 Cl 3.17-3.29, 2 K 3.23
Cl 0.9835 0.9349 0.4936  1 Au 2.37

Output
* magnetization: 0.0 μB/f.u.
* DFT total energy: -2.95 eV per atom


NbInSbTe2 | PBE-GGA | optimized geometry

Unit cell a=5.6291 b=5.6291 c=5.6274 alpha=90.00 beta=90.00 gamma=90.00
With the nearest neighbours (Å) after each atom.
Space group P4/mmm (No. 123)
Symmetry-distinct sites (fractional):
Nb 0.0000 0.0000 0.0000  2 Sb 2.81, 4 Te 2.81
In 0.5000 0.5000 0.5000  8 Te 3.98, 4 Sb 3.98
Sb 0.0000 0.0000 0.5000  2 Nb 2.81
Te 0.0000 0.5000 0.0000  2 Nb 2.81

Output
* density of states at the Fermi level: 3.0 states/eV per cell
* energy relative to the lowest polymorph listed for this composition: 0.000 eV per atom
* magnetization: 0.0 μB/f.u.


GdHoPtAu | PBE-GGA | optimized geometry

Unit cell a=7.1091 b=7.1091 c=7.1091 alpha=90.00 beta=90.00 gamma=90.00
With the nearest neighbours (Å) after each atom.
Space group F-43m (No. 216)
Symmetry-distinct sites (fractional):
Gd 0.0000 0.0000 0.0000  4 Pt 3.08, 4 Au 3.08
Ho 0.0000 0.0000 0.5000  4 Pt 3.08, 4 Au 3.08
Pt 0.2500 0.2500 0.2500  4 Gd 3.08, 4 Ho 3.08
Au 0.2500 0.2500 0.7500  4 Gd 3.08, 4 Ho 3.08

Output
* density of states at the Fermi level: 10.2 states/eV per cell
* magnetization: 7.1 μB/f.u.
* DFT total energy: -8.01 eV per atom


RbTiFe3 | PBE-GGA | optimized geometry

Unit cell a=4.7635 b=4.7635 c=4.7635 alpha=90.00 beta=90.00 gamma=90.00
With the nearest neighbours (Å) after each atom.
Space group Pm-3m (No. 221)
Symmetry-distinct sites (fractional):
Rb 0.0000 0.0000 0.0000  12 Fe 3.37
Ti 0.5000 0.5000 0.5000  6 Fe 2.38
Fe 0.0000 0.5000 0.5000  2 Ti 2.38

Output
* density of states at the Fermi level: 8.1 states/eV per cell
* energy relative to the lowest polymorph listed for this composition: 0.000 eV per atom
* magnetization: 6.3 μB/f.u.


| no. | ρ (g cm⁻³) |
| --- | --- |
| 1 | 3.05 |
| 2 | 5.44 |
| 3 | 13.20 |
| 4 | 4.62 |